Entry 1:
PBE Sm3GeAs2Rh8, optimized geometry; total DFT energy (no corrections) = -6.832 eV per atom; ΔH_f (0 K) = -0.6256 eV per atom
1.0
5.455 0.000 0.000
-2.727 4.724 0.000
0.000 0.000 9.640
Rh Sm Ge As
8 3 1 2
Direct
0.667 0.333 0.154 Rh
0.333 0.667 0.846 Rh
0.327 0.163 0.718 Rh
0.163 0.837 0.282 Rh
0.163 0.327 0.282 Rh
0.837 0.673 0.718 Rh
0.673 0.837 0.282 Rh
0.837 0.163 0.718 Rh
0.000 0.000 0.000 Sm
0.333 0.667 0.561 Sm
0.667 0.333 0.439 Sm
0.000 0.000 0.500 Ge
0.333 0.667 0.092 As
0.667 0.333 0.908 As

***

Entry 2:
PBE In4Hg4Pb, optimized geometry; total DFT energy (no corrections) = -1.676 eV per atom; distance to the lowest polymorph of the same formula = 58.8 meV/atom; ΔH_f (0 K) = 0.0876 eV per atom
1.0
-5.095 -3.554 4.788
-4.130 -2.439 -6.206
4.742 -7.224 -0.316
In Hg Pb
8 8 2
Direct
0.000 0.738 0.385 In
0.738 0.000 0.615 In
0.762 0.500 0.885 In
0.500 0.238 0.115 In
0.500 0.762 0.115 In
0.000 0.262 0.385 In
0.262 0.000 0.615 In
0.238 0.500 0.885 In
0.261 0.000 0.272 Hg
0.000 0.261 0.728 Hg
0.500 0.239 0.772 Hg
0.239 0.500 0.228 Hg
0.000 0.739 0.728 Hg
0.500 0.761 0.772 Hg
0.761 0.500 0.228 Hg
0.739 0.000 0.272 Hg
0.500 0.500 0.500 Pb
0.000 0.000 0.000 Pb